Entry 1:
A plane-wave DFT calculation with GGA-PBE was carried out for a relaxed structure of SmDyEr.

Unit cell a=5.6404 b=5.6404 c=3.4562 alpha=90.00 beta=90.00 gamma=120.00
With the nearest neighbours (Å) after each atom.
Sites, in units of the cell vectors:
1 Sm 0.0000 0.0000 0.0000  2 Sm 3.46, 6 Er 3.69, 6 Dy 3.69
2 Dy 0.3333 0.6667 0.5000  3 Er 3.26, 2 Dy 3.46
3 Er 0.6667 0.3333 0.5000  3 Dy 3.26, 2 Er 3.46

E above lowest polymorph (eV/atom): 0.076
Total magnetic moment (μB/cell): 0.0
Total energy (eV/cell): -13.7
ΔH_f (0 K) (kcal/mol of atoms): 1.6
Symmetry: P-6m2 (187)
Volume (Å³ per cell): 95.2



Entry 2:
A plane-wave DFT calculation with GGA-PBE was carried out for a relaxed structure of LaMgSbBr.

Unit cell a=14.7177 b=14.7177 c=14.7177 alpha=17.97 beta=17.97 gamma=17.97
With the nearest neighbours (Å) after each atom.
Sites, in units of the cell vectors:
1 La 0.0884 0.0884 0.0884  3 Br 3.14, 3 Sb 3.28
2 La 0.9116 0.9116 0.9116  3 Br 3.14, 3 Sb 3.28
3 Mg 0.3098 0.3098 0.3098  4 Sb 2.80-2.94
4 Mg 0.6902 0.6902 0.6902  4 Sb 2.80-2.94
5 Sb 0.3775 0.3775 0.3775  4 Mg 2.80-2.94
6 Sb 0.6225 0.6225 0.6225  4 Mg 2.80-2.94
7 Br 0.2063 0.2063 0.2063  3 La 3.14
8 Br 0.7937 0.7937 0.7937  3 La 3.14

Total magnetic moment (μB/cell): 0.0
Uncorrected formation energy (eV/atom): -1.070
Total energy (eV/cell): -33.2
Symmetry: R-3m (166)
Volume (Å³ per cell): 265.1



Entry 3:
A plane-wave DFT calculation with GGA-PBE was carried out for a relaxed structure of TaSbP2.

Unit cell a=4.6334 b=4.6334 c=3.2339 alpha=90.00 beta=90.00 gamma=90.00
With the nearest neighbours (Å) after each atom.
Sites, in units of the cell vectors:
1 Ta 0.0000 0.0000 0.0000  8 P 2.83
2 Sb 0.5000 0.5000 0.0000  8 P 2.83
3 P 0.0000 0.5000 0.5000  4 Ta 2.83, 4 Sb 2.83
4 P 0.5000 0.0000 0.5000  4 Ta 2.83, 4 Sb 2.83

Total magnetic moment (μB/cell): 0.0
Uncorrected formation energy (eV/atom): 0.348
Total energy (eV/cell): -25.4
Symmetry: P4/mmm (123)
Volume (Å³ per cell): 69.4



Entry 4:
A plane-wave DFT calculation with GGA-PBE was carried out for a relaxed structure of Ti2ZnO4.

Unit cell a=5.8646 b=10.5692 c=5.0296 alpha=90.00 beta=90.00 gamma=90.00
With the nearest neighbours (Å) after each atom.
Sites, in units of the cell vectors:
1 Ti 0.0000 0.0000 0.0000  6 O 2.03-2.09
2 Ti 0.0000 0.5000 0.0000  6 O 2.03-2.09
3 Ti 0.2500 0.0113 0.4704  6 O 2.00-2.10
4 Ti 0.2500 0.4887 0.4704  6 O 2.00-2.10
5 Ti 0.5000 0.0000 0.0000  6 O 2.03-2.09
6 Ti 0.5000 0.5000 0.0000  6 O 2.03-2.09
7 Ti 0.7500 0.5113 0.5296  6 O 2.00-2.10
8 Ti 0.7500 0.9887 0.5296  6 O 2.00-2.10
9 Zn 0.2500 0.2500 0.8378  6 O 2.07-2.23
10 Zn 0.2500 0.7500 0.5456  6 O 2.09-2.30
11 Zn 0.7500 0.2500 0.4544  6 O 2.09-2.30
12 Zn 0.7500 0.7500 0.1622  6 O 2.07-2.23
13 O 0.0015 0.1146 0.6606  3 Ti 2.06-2.09, 2 Zn 2.23-2.30
14 O 0.0015 0.3854 0.6606  3 Ti 2.06-2.09, 2 Zn 2.23-2.30
15 O 0.2500 0.1155 0.1374  3 Ti 2.00-2.03, 1 Zn 2.07
16 O 0.2500 0.3845 0.1374  3 Ti 2.00-2.03, 1 Zn 2.07
17 O 0.2500 0.5999 0.8157  3 Ti 2.03-2.10, 1 Zn 2.09
18 O 0.2500 0.9001 0.8157  3 Ti 2.03-2.10, 1 Zn 2.09
19 O 0.4985 0.1146 0.6606  3 Ti 2.06-2.09, 2 Zn 2.23-2.30
20 O 0.4985 0.3854 0.6606  3 Ti 2.06-2.09, 2 Zn 2.23-2.30
21 O 0.5015 0.6146 0.3394  3 Ti 2.06-2.09, 2 Zn 2.23-2.30
22 O 0.5015 0.8854 0.3394  3 Ti 2.06-2.09, 2 Zn 2.23-2.30
23 O 0.7500 0.0999 0.1843  3 Ti 2.03-2.10, 1 Zn 2.09
24 O 0.7500 0.4001 0.1843  3 Ti 2.03-2.10, 1 Zn 2.09
25 O 0.7500 0.6155 0.8626  3 Ti 2.00-2.03, 1 Zn 2.07
26 O 0.7500 0.8845 0.8626  3 Ti 2.00-2.03, 1 Zn 2.07
27 O 0.9985 0.6146 0.3394  3 Ti 2.06-2.09, 2 Zn 2.23-2.30
28 O 0.9985 0.8854 0.3394  3 Ti 2.06-2.09, 2 Zn 2.23-2.30

E above lowest polymorph (eV/atom): 0.145
Total magnetic moment (μB/cell): 1.6
Uncorrected formation energy (eV/atom): -2.321
Total energy (eV/cell): -212.6
Symmetry: Pmmn (59)
Volume (Å³ per cell): 311.8



Entry 5:
A plane-wave DFT calculation with GGA-PBE was carried out for a relaxed structure of La2ThSn.

Unit cell a=4.1685 b=4.1685 c=7.3248 alpha=90.00 beta=90.00 gamma=90.00
With the nearest neighbours (Å) after each atom.
Sites, in units of the cell vectors:
1 La 0.0000 0.0000 0.2182  1 La 3.20, 4 Sn 3.35
2 La 0.0000 0.0000 0.7818  1 La 3.20, 4 Sn 3.35
3 Th 0.5000 0.5000 0.5000  8 La 3.60, 2 Sn 3.66
4 Sn 0.5000 0.5000 0.0000  8 La 3.35, 2 Th 3.66

E above lowest polymorph (eV/atom): 0.084
Total magnetic moment (μB/cell): 0.0
Total energy (eV/cell): -22.5
ΔH_f (0 K) (kcal/mol of atoms): -7.3
Symmetry: P4/mmm (123)
Volume (Å³ per cell): 127.3



Entry 6:
A plane-wave DFT calculation with GGA-PBE was carried out for a relaxed structure of CuSBrO.

Unit cell a=5.3575 b=5.7871 c=6.3320 alpha=69.74 beta=84.55 gamma=79.76
With the nearest neighbours (Å) after each atom.
Sites, in units of the cell vectors:
1 Cu 0.0000 0.0000 0.0000  1 O 2.07, 1 S 2.14
2 Cu 0.4099 0.6903 0.1890  1 S 2.17, 1 Br 2.38, 1 O 2.39
3 S 0.1875 0.9920 0.2868  2 Cu 2.14-2.17, 1 Br 2.36
4 S 0.9370 0.5236 0.5645  2 O 1.46-1.48
5 Br 0.4491 0.3029 0.1270  1 S 2.36, 1 Cu 2.38
6 Br 0.7228 0.8074 0.8729  2 Cu 2.35-2.47
7 O 0.0782 0.2908 0.7152  1 S 1.48
8 O 0.6981 0.4959 0.4881  1 S 1.46

E above lowest polymorph (eV/atom): 0.030
Total magnetic moment (μB/cell): 0.0
Uncorrected formation energy (eV/atom): -0.436
Total energy (eV/cell): -33.2
Symmetry: P1 (1)
Volume (Å³ per cell): 181.1



Entry 7:
A plane-wave DFT calculation with GGA-PBE was carried out for a relaxed structure of Pm3Au.

Unit cell a=6.5243 b=6.5243 c=10.0471 alpha=90.00 beta=90.00 gamma=145.95
With the nearest neighbours (Å) after each atom.
Sites, in units of the cell vectors:
1 Pm 0.0624 0.9376 0.7500  2 Au 3.14
2 Pm 0.3657 0.6343 0.5506  3 Au 3.05-3.42
3 Pm 0.3657 0.6343 0.9494  3 Au 3.05-3.42
4 Pm 0.6343 0.3657 0.0506  3 Au 3.05-3.42
5 Pm 0.6343 0.3657 0.4494  3 Au 3.05-3.42
6 Pm 0.9376 0.0624 0.2500  2 Au 3.14
7 Au 0.2377 0.7623 0.2500  8 Pm 3.05-3.42
8 Au 0.7623 0.2377 0.7500  8 Pm 3.05-3.42

E above lowest polymorph (eV/atom): 0.000
Total magnetic moment (μB/cell): 0.0
Total energy (eV/cell): -38.3
ΔH_f (0 K) (kcal/mol of atoms): -9.4
Symmetry: Cmcm (63)
Volume (Å³ per cell): 239.5



Entry 8:
A plane-wave DFT calculation with GGA-PBE was carried out for a relaxed structure of BeAlIr2Ru.

Unit cell a=4.0730 b=4.0730 c=4.1790 alpha=90.00 beta=90.00 gamma=90.00
With the nearest neighbours (Å) after each atom.
Sites, in units of the cell vectors:
1 Be 0.0000 0.0000 0.0000  4 Ir 2.04, 2 Al 2.09
2 Al 0.0000 0.0000 0.5000  2 Be 2.09
3 Ir 0.0000 0.5000 0.0000  2 Be 2.04
4 Ir 0.5000 0.0000 0.0000  2 Be 2.04
5 Ru 0.5000 0.5000 0.5000  4 Al 2.88, 8 Ir 2.92

Total magnetic moment (μB/cell): 0.8
Total energy (eV/cell): -33.0
ΔH_f (0 K) (kcal/mol of atoms): 6.9
Symmetry: P4/mmm (123)
Volume (Å³ per cell): 69.3



Entry 9:
A plane-wave DFT calculation with GGA-PBE was carried out for a relaxed structure of CaLaGa.

Unit cell a=5.2069 b=5.2069 c=5.2069 alpha=60.00 beta=60.00 gamma=60.00
With the nearest neighbours (Å) after each atom.
Sites, in units of the cell vectors:
1 Ca 0.0000 0.0000 0.0000  4 Ga 3.19
2 La 0.5000 0.5000 0.5000  4 Ga 3.19
3 Ga 0.7500 0.7500 0.7500  4 La 3.19, 4 Ca 3.19

E above lowest polymorph (eV/atom): 0.151
Total magnetic moment (μB/cell): 0.0
Total energy (eV/cell): -10.8
ΔH_f (0 K) (kcal/mol of atoms): -6.7
Symmetry: F-43m (216)
Volume (Å³ per cell): 99.8



Entry 10:
A plane-wave DFT calculation with GGA-PBE was carried out for a relaxed structure of Rb3URh3Se8.

Unit cell a=9.1010 b=9.1010 c=9.1010 alpha=49.52 beta=49.52 gamma=49.52
With the nearest neighbours (Å) after each atom.
Sites, in units of the cell vectors:
1 Rb 0.0000 0.5000 0.5000  6 Se 3.41-3.51, 4 Rb 3.81
2 Rb 0.5000 0.0000 0.5000  6 Se 3.41-3.51, 4 Rb 3.81
3 Rb 0.5000 0.5000 0.0000  6 Se 3.41-3.51, 4 Rb 3.81
4 U 0.5000 0.5000 0.5000  6 Se 2.80
5 Rh 0.0000 0.0000 0.5000  6 Se 2.53-2.57
6 Rh 0.0000 0.5000 0.0000  6 Se 2.53-2.57
7 Rh 0.5000 0.0000 0.0000  6 Se 2.53-2.57
8 Se 0.1998 0.7424 0.7424  2 Rh 2.57, 1 U 2.80
9 Se 0.2191 0.2191 0.2191  3 Rh 2.53
10 Se 0.2576 0.2576 0.8002  2 Rh 2.57, 1 U 2.80
11 Se 0.2576 0.8002 0.2576  2 Rh 2.57, 1 U 2.80
12 Se 0.7424 0.1998 0.7424  2 Rh 2.57, 1 U 2.80
13 Se 0.7424 0.7424 0.1998  2 Rh 2.57, 1 U 2.80
14 Se 0.7809 0.7809 0.7809  3 Rh 2.53
15 Se 0.8002 0.2576 0.2576  2 Rh 2.57, 1 U 2.80

Total magnetic moment (μB/cell): 1.9
Uncorrected formation energy (eV/atom): -0.801
Total energy (eV/cell): -76.1
Symmetry: R-3m (166)
Volume (Å³ per cell): 401.0



Entry 11:
A plane-wave DFT calculation with GGA-PBE was carried out for a relaxed structure of RbBaVRe2.

Unit cell a=5.2781 b=5.2781 c=5.1671 alpha=90.00 beta=90.00 gamma=90.00
With the nearest neighbours (Å) after each atom.
Sites, in units of the cell vectors:
1 Rb 0.0000 0.0000 0.0000  8 Re 3.69, 4 V 3.73
2 Ba 0.5000 0.5000 0.5000  2 V 2.58, 4 Re 2.64
3 V 0.5000 0.5000 0.0000  2 Ba 2.58
4 Re 0.0000 0.5000 0.5000  2 Ba 2.64
5 Re 0.5000 0.0000 0.5000  2 Ba 2.64

E above lowest polymorph (eV/atom): 0.000
Total magnetic moment (μB/cell): 4.3
Total energy (eV/cell): -20.7
ΔH_f (0 K) (kcal/mol of atoms): 74.8
Symmetry: P4/mmm (123)
Volume (Å³ per cell): 143.9



Entry 12:
A plane-wave DFT calculation with GGA-PBE was carried out for a relaxed structure of KAlO2F.

Unit cell a=4.7385 b=4.7385 c=4.7060 alpha=90.00 beta=90.00 gamma=90.00
With the nearest neighbours (Å) after each atom.
Sites, in units of the cell vectors:
1 K 0.0000 0.0000 0.0000  2 F 2.35, 4 O 2.37
2 Al 0.5000 0.5000 0.5000  8 O 3.34, 4 F 3.35
3 O 0.0000 0.5000 0.0000  2 K 2.37
4 O 0.5000 0.0000 0.0000  2 K 2.37
5 F 0.0000 0.0000 0.5000  2 K 2.35

Total magnetic moment (μB/cell): 3.0
Uncorrected formation energy (eV/atom): 0.116
Total energy (eV/cell): -16.0
Symmetry: P4/mmm (123)
Volume (Å³ per cell): 105.7